1.
A plane-wave DFT calculation with PBE with a Hubbard U was carried out for an optimized crystal structure of MgV2BiO6.

The structure in extended XYZ format:
```
20
Lattice="4.623 -5.520 0.000 4.623 5.520 0.000 -2.740 0.000 5.703" Properties=species:S:1:pos:R:3 pbc="T T T"
Mg 2.568 3.334 4.277
Mg 3.938 -3.334 1.426
V 2.480 0.897 1.866
V 1.110 -0.897 4.717
V 5.396 0.897 0.985
V 4.026 -0.897 3.837
Bi 3.938 4.476 1.426
Bi 2.568 -4.476 4.277
O 0.686 0.753 0.996
O 2.485 2.606 2.459
O -0.684 -0.753 3.847
O 3.448 0.521 0.255
O 5.390 2.606 0.392
O 2.078 -0.521 3.107
O 4.428 0.521 2.596
O 1.115 -2.606 5.310
O 3.058 -0.521 5.447
O 7.189 0.753 1.855
O 4.021 -2.606 3.244
O 5.819 -0.753 4.706
```

=====

2.
A plane-wave DFT calculation with PBE with a Hubbard U was carried out for an optimized crystal structure of MgBi2WO6.

The structure in extended XYZ format:
```
20
Lattice="5.696 0.000 0.000 0.000 5.843 0.000 -5.557 0.000 7.997" Properties=species:S:1:pos:R:3 pbc="T T T"
Mg 0.000 0.000 0.000
Mg -2.779 2.921 3.999
Bi -2.711 0.359 5.805
Bi 0.067 2.562 1.807
Bi 0.072 3.281 6.191
Bi 2.850 5.484 2.192
W 0.070 0.000 3.999
W 2.848 2.921 0.000
O -0.556 0.213 2.040
O -3.334 2.709 6.038
O 0.995 3.992 0.231
O -1.784 4.772 4.230
O 1.682 1.292 0.538
O -1.096 1.629 4.537
O 1.235 4.214 3.461
O -1.543 4.551 7.460
O 1.923 1.070 3.768
O -0.856 1.851 7.766
O 3.473 3.134 1.959
O 0.695 5.630 5.958
```

=====

| no. | volume (Å³ per atom) | uncorrected energy (eV/cell) | total magnetic moment (μB/atom) |
| --- | --- | --- | --- |
| 1 | 14.55 | -137.6 | 0.300 |
| 2 | 13.31 | -127.5 | 0.200 |